# 1
Entry from Alexandria: an optimized crystal structure of LaAuC (GGA-PBE).

Geometry as CIF:
```
data_LaAuC
_cell_length_a 3.863
_cell_length_b 3.863
_cell_length_c 4.099
_cell_angle_alpha 90.00
_cell_angle_beta 90.00
_cell_angle_gamma 90.00
_space_group_name_H-M_alt 'P 4/m m m'
_space_group_IT_number 123
_space_group_name_Hall '-P 4 2'
loop_
_atom_site_label
_atom_site_type_symbol
_atom_site_fract_x
_atom_site_fract_y
_atom_site_fract_z
La1 La 0.000 0.000 0.000
Au1 Au 0.500 0.500 0.500
C1 C 0.500 0.500 0.000
```

Crystal system = tetragonal
Formation energy = -0.07 eV/atom
Total magnetic moment = 0.00 μB per formula unit
Theoretical density = 9.44 Mg/m³



# 2
Entry from Alexandria: an optimized crystal structure of LiTbGaHg (GGA-PBE).

Geometry as CIF:
```
data_LiTbGaHg
_cell_length_a 6.988
_cell_length_b 6.988
_cell_length_c 6.988
_cell_angle_alpha 90.00
_cell_angle_beta 90.00
_cell_angle_gamma 90.00
_space_group_name_H-M_alt 'F -4 3 m'
_space_group_IT_number 216
_space_group_name_Hall 'F -4 2 3'
loop_
_atom_site_label
_atom_site_type_symbol
_atom_site_fract_x
_atom_site_fract_y
_atom_site_fract_z
Li1 Li 0.000 0.000 0.000
Tb1 Tb 0.000 0.000 0.500
Ga1 Ga 0.250 0.250 0.750
Hg1 Hg 0.250 0.250 0.250
```

Crystal system = cubic
Formation energy = -0.45 eV/atom
Total magnetic moment = 0.00 μB per formula unit
Theoretical density = 8.49 Mg/m³



# 3
Entry from Alexandria: an optimized crystal structure of Pm5Sm5Dy (GGA-PBE).

Geometry as CIF:
```
data_Pm5Sm5Dy
_cell_length_a 6.1875
_cell_length_b 6.1875
_cell_length_c 11.6496
_cell_angle_alpha 90.00
_cell_angle_beta 90.00
_cell_angle_gamma 120.00
_space_group_name_H-M_alt 'P -6 m 2'
_space_group_IT_number 187
_space_group_name_Hall 'P -6 2'
loop_
_atom_site_label
_atom_site_type_symbol
_atom_site_fract_x
_atom_site_fract_y
_atom_site_fract_z
Pm1 Pm 0.0000 0.0000 0.0000
Pm2 Pm 0.3333 0.6667 0.3181
Pm3 Pm 0.6667 0.3333 0.1569
Sm1 Sm 0.0000 0.0000 0.2643
Sm2 Sm 0.3377 0.1689 0.5000
Dy1 Dy 0.3333 0.6667 0.0000
```

Crystal system = hexagonal
Excess energy over the best structure of this formula in the dataset = 15.57 kJ per mole of atoms
Formation energy = 0.30 eV/atom
Total magnetic moment = 0.00 μB per formula unit
Theoretical density = 7.05 Mg/m³



# 4
Entry from Alexandria: an optimized crystal structure of Y2MgPa (GGA-PBE).

Geometry as CIF:
```
data_Y2MgPa
_cell_length_a 3.417
_cell_length_b 3.417
_cell_length_c 9.556
_cell_angle_alpha 90.00
_cell_angle_beta 90.00
_cell_angle_gamma 90.00
_space_group_name_H-M_alt 'P 4/m m m'
_space_group_IT_number 123
_space_group_name_Hall '-P 4 2'
loop_
_atom_site_label
_atom_site_type_symbol
_atom_site_fract_x
_atom_site_fract_y
_atom_site_fract_z
Y1 Y 0.000 0.000 0.249
Mg1 Mg 0.500 0.500 0.000
Pa1 Pa 0.500 0.500 0.500
```

Crystal system = tetragonal
Excess energy over the best structure of this formula in the dataset = 0.00 kJ per mole of atoms
Formation energy = 0.06 eV/atom
Total magnetic moment = 0.22 μB per formula unit
Theoretical density = 6.45 Mg/m³



# 5
Entry from Alexandria: an optimized crystal structure of CaIrPd (GGA-PBE).

Geometry as CIF:
```
data_CaIrPd
_cell_length_a 4.756
_cell_length_b 11.616
_cell_length_c 17.421
_cell_angle_alpha 90.00
_cell_angle_beta 90.00
_cell_angle_gamma 90.00
_space_group_name_H-M_alt 'F m m m'
_space_group_IT_number 69
_space_group_name_Hall '-F 2 2'
loop_
_atom_site_label
_atom_site_type_symbol
_atom_site_fract_x
_atom_site_fract_y
_atom_site_fract_z
Ca1 Ca 0.000 0.139 0.120
Ir1 Ir 0.000 0.000 0.427
Ir2 Ir 0.000 0.195 0.500
Pd1 Pd 0.000 0.124 0.292
```

Crystal system = orthorhombic
Formation energy = -0.19 eV/atom
Total magnetic moment = 0.00 μB per formula unit
Theoretical density = 9.35 Mg/m³



# 6
Entry from Alexandria: an optimized crystal structure of Y2Ho4In (GGA-PBE).

Geometry as CIF:
```
data_Y2Ho4In
_cell_length_a 5.617
_cell_length_b 6.719
_cell_length_c 11.653
_cell_angle_alpha 90.00
_cell_angle_beta 103.02
_cell_angle_gamma 90.00
_space_group_name_H-M_alt 'P 1 21/m 1'
_space_group_IT_number 11
loop_
_space_group_symop_operation_xyz
'x,y,z'
'-x,-y,-z'
'-x,y+1/2,-z'
'x,-y+1/2,z'
loop_
_atom_site_label
_atom_site_type_symbol
_atom_site_fract_x
_atom_site_fract_y
_atom_site_fract_z
Y1 Y 0.049 0.250 0.479
Y2 Y 0.288 0.750 0.063
Ho1 Ho 0.162 0.008 0.792
Ho2 Ho 0.277 0.250 0.086
Ho3 Ho 0.387 0.750 0.359
In1 In 0.487 0.250 0.355
```

Crystal system = monoclinic
Formation energy = -0.03 eV/atom
Total magnetic moment = 0.00 μB per formula unit
Theoretical density = 7.38 Mg/m³



# 7
Entry from Alexandria: an optimized crystal structure of NdPaCuSi (GGA-PBE).

Geometry as CIF:
```
data_NdPaCuSi
_cell_length_a 7.060
_cell_length_b 7.060
_cell_length_c 7.060
_cell_angle_alpha 90.00
_cell_angle_beta 90.00
_cell_angle_gamma 90.00
_space_group_name_H-M_alt 'F -4 3 m'
_space_group_IT_number 216
_space_group_name_Hall 'F -4 2 3'
loop_
_atom_site_label
_atom_site_type_symbol
_atom_site_fract_x
_atom_site_fract_y
_atom_site_fract_z
Nd1 Nd 0.000 0.000 0.000
Pa1 Pa 0.000 0.000 0.500
Cu1 Cu 0.250 0.250 0.750
Si1 Si 0.250 0.250 0.250
```

Crystal system = cubic
Total magnetic moment = 0.62 μB per formula unit
Theoretical density = 8.81 Mg/m³
Energy relative to the elements, uncorrected = -0.093 eV per atom



# 8
Entry from Alexandria: an optimized crystal structure of TbDy3Pd3 (GGA-PBE).

Geometry as CIF:
```
data_TbDy3Pd3
_cell_length_a 9.222
_cell_length_b 10.452
_cell_length_c 7.099
_cell_angle_alpha 90.00
_cell_angle_beta 92.03
_cell_angle_gamma 90.00
_space_group_name_H-M_alt 'C 1 2/m 1'
_space_group_IT_number 12
loop_
_space_group_symop_operation_xyz
'x,y,z'
'-x,-y,-z'
'-x,y,-z'
'x,-y,z'
'x+1/2,y+1/2,z'
'-x+1/2,-y+1/2,-z'
'-x+1/2,y+1/2,-z'
'x+1/2,-y+1/2,z'
loop_
_atom_site_label
_atom_site_type_symbol
_atom_site_fract_x
_atom_site_fract_y
_atom_site_fract_z
Tb1 Tb 0.238 0.000 0.377
Dy1 Dy 0.000 0.250 0.500
Dy2 Dy 0.000 0.323 0.000
Dy3 Dy 0.153 0.000 0.866
Pd1 Pd 0.062 0.500 0.307
Pd2 Pd 0.242 0.246 0.221
```

Crystal system = monoclinic
Formation energy = -0.69 eV/atom
Total magnetic moment = 0.00 μB per formula unit
Theoretical density = 9.38 Mg/m³



Question: What is the total magnetic moment in the seventh record?
Answer: 0.62 μB per formula unit



Question: Which of these has the highest theoretical density?
Answer: LaAuC



Question: theoretical density of number 6 (Y2Ho4In)?
Answer: 7.38 Mg/m³